Entry 1:
VASP calculation (PBE) on crystalline Pm3ZnHg4 at its relaxed geometry.

Calculated values
energy of formation from the pure elements: -37 kJ/mol of atoms
E: -2.4785 eV/atom

a b c (Å): 5.1635 5.1635 27.0287
angles (deg): 90.00 90.00 120.00
Space group R-3m (No. 166, hexagonal axes)
Symmetry-distinct sites (fractional):
Pm (0.0000, 0.0000, 0.0000) x3
Pm (0.0000, 0.0000, 0.2391) x6
Zn (0.0000, 0.0000, 0.5000) x3
Hg (0.0000, 0.0000, 0.1237) x6
Hg (0.0000, 0.0000, 0.3733) x6

Entry 2:
VASP calculation (PBE) on crystalline Pm3ZnHg at its relaxed geometry.

Calculated values
energy of formation from the pure elements: -29 kJ/mol of atoms
E: -3.4612 eV/atom

a b c (Å): 5.308 19.880 5.310
angles (deg): 90.00 90.00 90.00
Space group Cmcm (No. 63)
Symmetry-distinct sites (fractional):
Pm (0.000, 0.063, 0.250) x4
Pm (0.000, 0.250, 0.250) x4
Pm (0.000, 0.434, 0.250) x4
Zn (0.000, 0.153, 0.750) x4
Hg (0.000, 0.344, 0.750) x4

Entry 3:
VASP calculation (PBE) on crystalline PmZn2Hg at its relaxed geometry.

Calculated values
energy of formation from the pure elements: -10 kJ/mol of atoms
E: -2.0085 eV/atom

a b c (Å): 4.594 5.662 7.050
angles (deg): 90.00 90.00 90.00
Space group Amm2 (No. 38)
Symmetry-distinct sites (fractional):
Pm (0.000, 0.000, 0.000) x2
Zn (0.000, 0.000, 0.441) x2
Zn (0.500, 0.000, 0.296) x2
Hg (0.500, 0.000, 0.686) x2

Entry 4:
VASP calculation (PBE) on crystalline Pm6Zn2Hg at its relaxed geometry.

Calculated values
energy of formation from the pure elements: -1 kJ/mol of atoms
E: -3.4936 eV/atom

a b c (Å): 16.116 7.289 5.108
angles (deg): 90.00 108.31 90.00
Space group C2/m (No. 12)
Symmetry-distinct sites (fractional):
Pm (0.000, 0.242, 0.000) x4
Pm (0.170, 0.245, 0.670) x8
Zn (0.167, 0.000, 0.167) x4
Hg (0.000, 0.500, 0.500) x2

Entry 5:
VASP calculation (PBE) on crystalline Pm3Zn9Hg2 at its relaxed geometry.

Calculated values
energy of formation from the pure elements: -30 kJ/mol of atoms
E: -2.1930 eV/atom

a b c (Å): 4.522 9.018 13.584
angles (deg): 90.00 90.00 90.00
Space group Immm (No. 71)
Symmetry-distinct sites (fractional):
Pm (0.000, 0.000, 0.000) x2
Pm (0.000, 0.000, 0.297) x4
Zn (0.000, 0.276, 0.145) x8
Zn (0.000, 0.364, 0.335) x8
Zn (0.000, 0.500, 0.000) x2
Hg (0.000, 0.194, 0.500) x4

Entry 6:
VASP calculation (PBE) on crystalline Pm3ZnHg2 at its relaxed geometry.

Calculated values
energy of formation from the pure elements: -39 kJ/mol of atoms
E: -3.0976 eV/atom

a b c (Å): 5.3333 5.3333 13.0408
angles (deg): 90.00 90.00 120.00
Space group P-3m1 (No. 164)
Symmetry-distinct sites (fractional):
Pm (0.0000, 0.0000, 0.2454) x2
Pm (0.3333, 0.6667, 0.4121) x2
Pm (0.3333, 0.6667, 0.9174) x2
Zn (0.3333, 0.6667, 0.1652) x2
Hg (0.0000, 0.0000, 0.0000) x1
Hg (0.0000, 0.0000, 0.5000) x1
Hg (0.3333, 0.6667, 0.6692) x2

Entry 7:
VASP calculation (PBE) on crystalline Pm2ZnHg at its relaxed geometry.

Calculated values
energy of formation from the pure elements: -39 kJ/mol of atoms
E: -3.1710 eV/atom

a b c (Å): 3.719 3.719 7.526
angles (deg): 90.00 90.00 90.00
Space group P4/mmm (No. 123)
Symmetry-distinct sites (fractional):
Pm (0.000, 0.000, 0.233) x2
Zn (0.500, 0.500, 0.000) x1
Hg (0.500, 0.500, 0.500) x1

Entry 8:
VASP calculation (PBE) on crystalline PmZnHg2 at its relaxed geometry.

Calculated values
energy of formation from the pure elements: -27 kJ/mol of atoms
E: -1.9375 eV/atom

a b c (Å): 4.638 4.638 4.472
angles (deg): 90.00 90.00 90.00
Space group P4/mmm (No. 123)
Symmetry-distinct sites (fractional):
Pm (0.000, 0.000, 0.000) x1
Zn (0.500, 0.500, 0.000) x1
Hg (0.000, 0.500, 0.500) x2

Entry 9:
VASP calculation (PBE) on crystalline Pm4ZnHg7 at its relaxed geometry.

Calculated values
energy of formation from the pure elements: -29 kJ/mol of atoms
E: -2.1688 eV/atom

a b c (Å): 15.269 5.266 9.493
angles (deg): 90.00 122.85 90.00
Space group C2/m (No. 12)
Symmetry-distinct sites (fractional):
Pm (0.067, 0.000, 0.247) x4
Pm (0.238, 0.000, 0.761) x4
Zn (0.000, 0.500, 0.500) x2
Hg (0.000, 0.000, 0.500) x2
Hg (0.072, 0.500, 0.851) x4
Hg (0.179, 0.000, 0.041) x4
Hg (0.186, 0.500, 0.504) x4

Entry 10:
VASP calculation (PBE) on crystalline Pm2ZnHg6 at its relaxed geometry.

Calculated values
energy of formation from the pure elements: -20 kJ/mol of atoms
E: -1.6048 eV/atom

a b c (Å): 15.555 8.370 3.496
angles (deg): 90.00 90.07 90.00
Space group C2/m (No. 12)
Symmetry-distinct sites (fractional):
Pm (0.196, 0.000, 0.000) x4
Zn (0.000, 0.500, 0.500) x2
Hg (0.000, 0.177, 0.000) x4
Hg (0.151, 0.318, 0.499) x8

Entry 11:
VASP calculation (PBE) on crystalline Pm6ZnHg at its relaxed geometry.

Calculated values
energy of formation from the pure elements: -18 kJ/mol of atoms
E: -3.9419 eV/atom

a b c (Å): 5.224 5.224 17.822
angles (deg): 90.00 90.00 90.00
Space group I4/mmm (No. 139)
Symmetry-distinct sites (fractional):
Pm (0.000, 0.000, 0.250) x4
Pm (0.000, 0.500, 0.107) x8
Zn (0.000, 0.000, 0.000) x2
Hg (0.000, 0.000, 0.500) x2

Entry 12:
VASP calculation (PBE) on crystalline Pm3Zn3Hg2 at its relaxed geometry.

Calculated values
energy of formation from the pure elements: -35 kJ/mol of atoms
E: -2.6964 eV/atom

a b c (Å): 4.636 10.955 15.205
angles (deg): 90.00 90.00 90.00
Space group Cmcm (No. 63)
Symmetry-distinct sites (fractional):
Pm (0.000, 0.099, 0.107) x8
Pm (0.000, 0.375, 0.250) x4
Zn (0.000, 0.347, 0.750) x4
Zn (0.000, 0.398, 0.039) x8
Hg (0.000, 0.199, 0.601) x8